AcPmTeRh | PBE-GGA | relaxed

Cell lengths 4.3171, 4.3171, 23.2411 Å; angles 90.00, 90.00, 120.00 degrees
With the nearest neighbours (Å) after each atom.
Space group R3m (No. 160, hexagonal axes)
Symmetry-distinct sites (fractional):
Ac  0.0000  0.0000  0.0000  3 Rh 3.01
Pm  0.0000  0.0000  0.1945  3 Rh 2.93, 3 Te 3.25
Te  0.0000  0.0000  0.4380  3 Pm 3.25, 3 Ac 3.48, 1 Rh 3.62
Rh  0.0000  0.0000  0.5939  3 Pm 2.93, 3 Ac 3.01

Output
The calculation puts the volume at 31.249 Å³/atom. The uncorrected formation energy comes out at -1.031 eV/atom. The density of states at the Fermi level comes out at 2.9 states/eV/f.u.